1.
# NaPmSO6

A geometry-optimized NaPmSO6 structure (PBE, Alexandria via LeMat-Bulk).

The space group is P312 (No. 149) and the conventional cell measures 5.2804, 5.2804 and 4.6814 Å, with angles of 90.00, 90.00 and 120.00 degrees. The inequivalent atoms are Na at (0.0000, 0.0000, 0.0000), Pm at (0.6667, 0.3333, 0.5000), S at (0.3333, 0.6667, 0.0000) and O at (0.0673, 0.4206, 0.2029).

The value obtained for the raw formation energy is -1452 meV/atom.

***

2.
# PmZrH

A geometry-optimized PmZrH structure (PBE, Alexandria via LeMat-Bulk).

The space group is P3m1 (No. 156) and the conventional cell measures 3.4159, 3.4159 and 5.6119 Å, with angles of 90.00, 90.00 and 120.00 degrees. The inequivalent atoms are Pm at (0.0000, 0.0000, 0.0000), Zr at (0.6667, 0.3333, 0.4901) and H at (0.3333, 0.6667, 0.6839).

Its relative energy among the computed polymorphs is 0.082 eV per atom.

***

3.
# B5C3

A geometry-optimized B5C3 structure (PBE, Alexandria via LeMat-Bulk).

The space group is R3m (No. 160, hexagonal axes) and the conventional cell measures 2.6875, 2.6875 and 31.9782 Å, with angles of 90.00, 90.00 and 120.00 degrees. The inequivalent atoms are B at (0.0000, 0.0000, 0.0000), B at (0.0000, 0.0000, 0.0530), B at (0.0000, 0.0000, 0.3005), B at (0.0000, 0.0000, 0.4624), B at (0.0000, 0.0000, 0.5808), C at (0.0000, 0.0000, 0.2511), C at (0.0000, 0.0000, 0.7413) and C at (0.0000, 0.0000, 0.7898).

Its relative energy among the computed polymorphs is 0.125 eV per atom. The value obtained for the formation energy from the elements is 0.395 eV per atom.

***

4.
# TlCrFe2

A geometry-optimized TlCrFe2 structure (PBE, Alexandria via LeMat-Bulk).

The space group is F-43m (No. 216) and the conventional cell measures 6.2045, 6.2045 and 6.2045 Å, with angles of 90.00, 90.00 and 90.00 degrees. The inequivalent atoms are Tl at (0.0000, 0.0000, 0.0000), Cr at (0.2500, 0.2500, 0.2500), Fe at (0.0000, 0.0000, 0.5000) and Fe at (0.2500, 0.2500, 0.7500).

Its relative energy among the computed polymorphs is 0.059 eV per atom. The value obtained for the formation energy from the elements is 0.526 eV per atom.

***

5.
# Zn10Pt4Au

A geometry-optimized Zn10Pt4Au structure (PBE, Alexandria via LeMat-Bulk).

The space group is R-3m (No. 166, hexagonal axes) and the conventional cell measures 4.2430, 4.2430 and 52.0831 Å, with angles of 90.00, 90.00 and 120.00 degrees. The inequivalent atoms are Zn at (0.0000, 0.0000, 0.0489), Zn at (0.0000, 0.0000, 0.1476), Zn at (0.0000, 0.0000, 0.2508), Zn at (0.0000, 0.0000, 0.3501), Zn at (0.0000, 0.0000, 0.4478), Pt at (0.0000, 0.0000, 0.0987), Pt at (0.0000, 0.0000, 0.3004) and Au at (0.0000, 0.0000, 0.5000).

The value obtained for the formation energy from the elements is -0.330 eV per atom.

***

6.
# CsCdIn2Cl5

A geometry-optimized CsCdIn2Cl5 structure (PBE, Alexandria via LeMat-Bulk).

The space group is I4/mcm (No. 140) and the conventional cell measures 8.7030, 8.7030 and 15.4734 Å, with angles of 90.00, 90.00 and 90.00 degrees. The inequivalent atoms are Cs at (0.0000, 0.0000, 0.2500), Cd at (0.0000, 0.5000, 0.2500), In at (0.1748, 0.3252, 0.0000), Cl at (0.0000, 0.0000, 0.0000) and Cl at (0.1572, 0.3428, 0.3522).

The value obtained for the raw formation energy is -1171 meV/atom.

***

7.
# Ba2MgRhO4

A geometry-optimized Ba2MgRhO4 structure (PBE, Alexandria via LeMat-Bulk).

The space group is Fddd (No. 70, origin choice 2) and the conventional cell measures 5.4661, 12.4738 and 18.3100 Å, with angles of 90.00, 90.00 and 90.00 degrees. The inequivalent atoms are Ba at (0.1250, 0.1250, 0.3025), Mg at (0.1250, 0.1250, 0.6250), Rh at (0.1250, 0.1250, 0.1250) and O at (0.1197, 0.2625, 0.8464).

The value obtained for the raw formation energy is -1735 meV/atom.

***

8.
# LiTbSnRh

A geometry-optimized LiTbSnRh structure (PBE, Alexandria via LeMat-Bulk).

The space group is F-43m (No. 216) and the conventional cell measures 6.7111, 6.7111 and 6.7111 Å, with angles of 90.00, 90.00 and 90.00 degrees. The inequivalent atoms are Li at (0.0000, 0.0000, 0.0000), Tb at (0.2500, 0.2500, 0.2500), Sn at (0.2500, 0.2500, 0.7500) and Rh at (0.0000, 0.0000, 0.5000).

The value obtained for the formation energy from the elements is -0.705 eV per atom.

***

9.
# Al2ZnSe

A geometry-optimized Al2ZnSe structure (PBE, Alexandria via LeMat-Bulk).

The space group is P4mm (No. 99) and the conventional cell measures 3.3087, 3.3087 and 7.0230 Å, with angles of 90.00, 90.00 and 90.00 degrees. The inequivalent atoms are Al at (0.0000, 0.0000, 0.0000), Al at (0.5000, 0.5000, 0.2645), Zn at (0.5000, 0.5000, 0.7842) and Se at (0.0000, 0.0000, 0.4339).

The value obtained for the raw formation energy is 21 meV/atom. Its relative energy among the computed polymorphs is 0.143 eV per atom.

***

10.
# Pd3PtC

A geometry-optimized Pd3PtC structure (PBE, Alexandria via LeMat-Bulk).

The space group is Pm-3m (No. 221) and the conventional cell measures 4.1393, 4.1393 and 4.1393 Å, with angles of 90.00, 90.00 and 90.00 degrees. The inequivalent atoms are Pd at (0.0000, 0.0000, 0.5000), Pt at (0.5000, 0.5000, 0.5000) and C at (0.0000, 0.0000, 0.0000).

Its relative energy among the computed polymorphs is 0.000 eV per atom. The value obtained for the formation energy from the elements is 0.361 eV per atom.

***

11.
# LiCoNi

A geometry-optimized LiCoNi structure (PBE, Alexandria via LeMat-Bulk).

The space group is P1 (No. 1) and the conventional cell measures 2.4387, 4.1235 and 6.7296 Å, with angles of 89.89, 79.92 and 89.87 degrees. The inequivalent atoms are Li at (0.0000, 0.0000, 0.0000), Li at (0.3282, 0.9998, 0.3385), Co at (0.5558, 0.5000, 0.8683), Co at (0.6607, 0.9999, 0.6723), Ni at (0.2211, 0.4996, 0.5379) and Ni at (0.8888, 0.4999, 0.1985).

Its relative energy among the computed polymorphs is 0.034 eV per atom. The value obtained for the formation energy from the elements is 0.060 eV per atom.

***

12.
# PaNiAs3

A geometry-optimized PaNiAs3 structure (PBE, Alexandria via LeMat-Bulk).

The space group is Amm2 (No. 38) and the conventional cell measures 4.0382, 4.3241 and 10.9627 Å, with angles of 90.00, 90.00 and 90.00 degrees. The inequivalent atoms are Pa at (0.0000, 0.0000, 0.0000), Ni at (0.0000, 0.0000, 0.3103), As at (0.0000, 0.0000, 0.7019), As at (0.5000, 0.0000, 0.1872) and As at (0.5000, 0.0000, 0.4409).

The value obtained for the formation energy from the elements is -0.469 eV per atom.